(1)
Computed, not measured: a relaxed DyGa3Ni3 crystal at the PBE level of DFT.

Properties
relative energy among the computed polymorphs: 0 meV per atom
spin magnetization: 0.00 μB/cell
DFT formation energy: -0.349 eV/atom

extended XYZ file:
```
14
Lattice="6.4485 0.0000 0.0000 3.2242 5.5846 0.0000 3.2243 1.8615 6.0205" Properties=species:S:1:pos:R:3 pbc="T T T"
Ga 7.0536 1.6565 3.7670
Ga 4.9614 2.1658 2.2535
Ni 4.0013 4.3508 1.2376
Dy 6.4485 3.7231 0.1607
Ni 8.2157 5.5286 1.2376
Dy 6.4485 3.7231 5.8598
Ni 5.7685 6.1563 4.7830
Ni 7.1285 1.2899 1.2376
Ni 4.6813 1.9176 4.7830
Ga 5.8434 5.7896 2.2535
Ni 8.8957 3.0954 4.7830
Ga 8.5408 3.2139 2.2535
Ga 4.3563 4.2323 3.7670
Ga 7.9356 5.2804 3.7670
```

(2)
Computed, not measured: a relaxed DyGa3Ni3 crystal at the PBE level of DFT.

Properties
relative energy among the computed polymorphs: 314 meV per atom
spin magnetization: 0.00 μB/cell
DFT formation energy: -0.035 eV/atom

extended XYZ file:
```
14
Lattice="6.4162 0.0000 0.0000 0.0000 6.4162 0.0000 0.0000 0.0000 6.4162" Properties=species:S:1:pos:R:3 pbc="T T T"
Ni 3.2081 1.6041 0.0000
Dy 0.0000 0.0000 0.0000
Ni 0.0000 3.2081 4.8122
Ni 3.2081 4.8122 0.0000
Ni 4.8122 0.0000 3.2081
Dy 3.2081 3.2081 3.2081
Ga 1.6041 3.2081 0.0000
Ni 1.6041 0.0000 3.2081
Ga 3.2081 0.0000 4.8122
Ga 3.2081 0.0000 1.6041
Ga 0.0000 1.6041 3.2081
Ni 0.0000 3.2081 1.6041
Ga 0.0000 4.8122 3.2081
Ga 4.8122 3.2081 0.0000
```

(3)
Computed, not measured: a relaxed DyGa7Ni2 crystal at the PBE level of DFT.

Properties
spin magnetization: 0.00 μB/cell
DFT formation energy: -0.113 eV/atom

extended XYZ file:
```
10
Lattice="4.0311 0.0000 0.0000 0.0000 7.5676 -0.1199 0.0000 -3.5212 6.6997" Properties=species:S:1:pos:R:3 pbc="T T T"
Ni 2.0155 3.9957 2.0768
Ga 2.0155 4.8616 4.3048
Ga 2.0155 -0.8151 2.2749
Ga 0.0000 -0.9484 5.1175
Ga 2.0155 2.0232 3.2899
Ga 2.0155 2.3980 0.2989
Ga 2.0155 1.6485 6.2808
Ga 0.0000 4.9949 1.4623
Ni 2.0155 0.0508 4.5029
Dy 0.0000 0.0000 0.0000
```

(4)
Computed, not measured: a relaxed DyGa4Ni2Os crystal at the PBE level of DFT.

Properties
spin magnetization: 0.00 μB/cell
DFT formation energy: -0.343 eV/atom

extended XYZ file:
```
8
Lattice="4.1175 0.0000 0.0000 2.0588 3.5659 0.0000 2.0588 1.1886 8.7825" Properties=species:S:1:pos:R:3 pbc="T T T"
Ga 4.1175 2.3773 6.9995
Ga 4.1175 2.3773 1.7830
Ni 2.0588 1.1886 2.6431
Ni 6.1763 3.5659 6.1394
Ga 6.1763 3.5659 3.4152
Ga 2.0588 1.1886 5.3673
Os 4.1175 2.3773 4.3913
Dy 0.0000 0.0000 0.0000
```

(5)
Computed, not measured: a relaxed Dy2GaNi4P3 crystal at the PBE level of DFT.

Properties
spin magnetization: 0.00 μB/cell
DFT formation energy: -0.943 eV/atom

extended XYZ file:
```
10
Lattice="-1.5386 -3.2189 -1.5272 3.3126 -1.9048 0.6776 -3.2760 -2.5850 8.7488" Properties=species:S:1:pos:R:3 pbc="T T T"
Ga -0.7510 -3.8544 3.9496
Dy -0.8319 -2.9158 6.9837
P 1.2244 -1.2932 1.4921
P -3.6134 -3.8537 6.8319
Ni -2.8580 -3.2576 4.8145
Ni 0.4690 -1.8893 3.5095
Dy -1.5571 -2.2311 1.3403
Ni 0.0000 0.0000 0.0000
Ni 0.8870 -2.5619 -0.4248
P -1.6380 -1.2925 4.3744
```

(6)
Computed, not measured: a relaxed DyGaNiPd crystal at the PBE level of DFT.

Properties
spin magnetization: 0.00 μB/cell
DFT formation energy: -0.586 eV/atom

extended XYZ file:
```
4
Lattice="4.5823 0.0000 0.0000 2.2912 3.9684 0.0000 2.2912 1.3228 3.7414" Properties=species:S:1:pos:R:3 pbc="T T T"
Pd 6.8735 3.9684 2.8061
Ni 2.2912 1.3228 0.9354
Ga 4.5823 2.6456 1.8707
Dy 0.0000 0.0000 0.0000
```

(7)
Computed, not measured: a relaxed DyGa4Ni2Pd crystal at the PBE level of DFT.

Properties
spin magnetization: 0.00 μB/cell
DFT formation energy: -0.494 eV/atom

extended XYZ file:
```
8
Lattice="4.1427 0.0000 0.0000 2.0713 3.5877 0.0000 2.0713 1.1959 8.7286" Properties=species:S:1:pos:R:3 pbc="T T T"
Pd 4.1427 2.3918 4.3643
Ni 6.2140 3.5877 6.1547
Dy 0.0000 0.0000 0.0000
Ga 6.2140 3.5877 3.3022
Ga 4.1427 2.3918 1.7377
Ga 4.1427 2.3918 6.9909
Ga 2.0713 1.1959 5.4264
Ni 2.0713 1.1959 2.5738
```

(8)
Computed, not measured: a relaxed DyGa4NiPd2 crystal at the PBE level of DFT.

Properties
spin magnetization: 0.00 μB/cell
DFT formation energy: -0.583 eV/atom

extended XYZ file:
```
8
Lattice="4.2478 0.0000 0.0000 2.1239 3.6787 0.0000 2.1239 1.2262 8.5695" Properties=species:S:1:pos:R:3 pbc="T T T"
Ga 6.3717 3.6787 3.4767
Ni 4.2478 2.4525 4.2848
Ga 4.2478 2.4525 6.8605
Ga 2.1239 1.2262 5.0928
Dy 0.0000 0.0000 0.0000
Pd 2.1239 1.2262 2.4017
Pd 6.3717 3.6787 6.1679
Ga 4.2478 2.4525 1.7090
```

(9)
Computed, not measured: a relaxed DyGa4Ni2Pt crystal at the PBE level of DFT.

Properties
spin magnetization: 0.00 μB/cell
DFT formation energy: -0.502 eV/atom

extended XYZ file:
```
8
Lattice="4.1489 0.0000 0.0000 2.0744 3.5930 0.0000 2.0744 1.1977 8.7438" Properties=species:S:1:pos:R:3 pbc="T T T"
Pt 4.1489 2.3953 4.3719
Ni 6.2233 3.5930 6.1360
Ga 6.2233 3.5930 3.2956
Ga 4.1489 2.3953 1.7230
Ga 4.1489 2.3953 7.0208
Dy 0.0000 0.0000 0.0000
Ni 2.0744 1.1977 2.6078
Ga 2.0744 1.1977 5.4482
```

(10)
Computed, not measured: a relaxed DyGa2Ni2Pt crystal at the PBE level of DFT.

Properties
spin magnetization: 0.00 μB/cell
DFT formation energy: -0.129 eV/atom

extended XYZ file:
```
6
Lattice="4.6862 0.0000 0.0000 0.0000 4.6862 0.0000 0.0000 0.0000 5.3257" Properties=species:S:1:pos:R:3 pbc="T T T"
Ni 2.3431 2.3431 1.3878
Ga 0.0000 2.3431 0.0000
Ga 2.3431 0.0000 0.0000
Ni 2.3431 2.3431 3.9380
Dy 0.0000 0.0000 2.6629
Pt 0.0000 0.0000 0.0000
```

(11)
Computed, not measured: a relaxed Dy2Ga3Ni4Pt crystal at the PBE level of DFT.

Properties
spin magnetization: 0.00 μB/cell
DFT formation energy: -0.591 eV/atom

extended XYZ file:
```
10
Lattice="3.8377 0.0000 0.0000 0.0000 3.8377 0.0000 0.0000 0.0000 11.0663" Properties=species:S:1:pos:R:3 pbc="T T T"
Ni 0.0000 0.0000 0.0000
Ga 1.9189 0.0000 9.6242
Dy 1.9189 0.0000 2.8825
Ni 0.0000 1.9189 3.8185
Ga 0.0000 1.9189 1.4420
Pt 1.9189 1.9189 5.5331
Dy 0.0000 1.9189 8.1838
Ni 1.9189 1.9189 0.0000
Ga 0.0000 0.0000 5.5331
Ni 1.9189 0.0000 7.2478
```

(12)
Computed, not measured: a relaxed Dy2Ga4Ni3Pt crystal at the PBE level of DFT.

Properties
spin magnetization: 0.00 μB/cell
DFT formation energy: -0.678 eV/atom

extended XYZ file:
```
10
Lattice="-2.5116 -2.3287 -2.0500 2.6600 -0.2589 -2.9649 4.2262 -8.5538 4.5386" Properties=species:S:1:pos:R:3 pbc="T T T"
Ni 1.8991 -1.2813 -0.8713
Ni 2.4013 -8.5663 2.9024
Dy 4.5485 -6.6435 1.9739
Pt 2.1873 -5.5707 -0.2382
Ga 2.8453 -3.1964 0.1449
Ga 0.0742 -1.2938 -2.5075
Ga 1.4551 -6.6512 1.8863
Ga 0.0000 0.0000 0.0000
Dy -0.2480 -3.2041 0.0572
Ni 2.1131 -4.2769 2.2693
```

(13)
Computed, not measured: a relaxed Dy2Ga3Ni12Pt crystal at the PBE level of DFT.

Properties
spin magnetization: 0.00 μB/cell
DFT formation energy: -0.036 eV/atom

extended XYZ file:
```
18
Lattice="9.2898 1.9940 1.4143 6.3217 7.0931 1.4143 6.3217 3.6797 6.2268" Properties=species:S:1:pos:R:3 pbc="T T T"
Ni 16.4439 9.5717 5.2003
Ga 3.1608 1.8399 3.1134
Ni 10.3393 4.6657 4.7425
Ga 3.1608 3.5466 0.7072
Ni 16.4439 8.0723 7.3143
Dy 7.8759 4.5844 3.2517
Ni 6.7931 2.4547 1.7411
Ni 15.1401 10.3122 7.3143
Ni 5.4893 4.6947 1.7411
Ni 11.5939 6.7486 6.2199
Ni 11.5939 8.1012 4.3129
Ni 9.1631 6.6863 4.7425
Ni 12.7700 6.0806 4.3129
Ni 10.3393 6.0183 2.8356
Ga 4.6449 0.9970 0.7072
Pt 0.0000 0.0000 0.0000
Ni 5.4893 3.1952 3.8551
Dy 14.0573 8.1825 5.8038
```

(14)
Computed, not measured: a relaxed DyGaNiPt crystal at the PBE level of DFT.

Properties
spin magnetization: 0.00 μB/cell
DFT formation energy: -0.663 eV/atom

extended XYZ file:
```
4
Lattice="-0.8976 4.5010 0.1166 -1.2491 1.9902 3.9443 2.8825 2.8608 2.1413" Properties=species:S:1:pos:R:3 pbc="T T T"
Dy 0.0000 0.0000 0.0000
Ni 0.1840 2.3380 1.5506
Pt 0.5519 7.0141 4.6517
Ga 0.3679 4.6761 3.1011
```

(15)
Computed, not measured: a relaxed Dy2Ga4Ni3Rh crystal at the PBE level of DFT.

Properties
spin magnetization: 0.00 μB/cell
DFT formation energy: -0.641 eV/atom

extended XYZ file:
```
10
Lattice="-1.5100 -1.9882 3.2161 3.6140 0.2588 1.8569 -2.7562 8.7887 4.1392" Properties=species:S:1:pos:R:3 pbc="T T T"
Ni 1.4448 1.2845 1.4725
Ga 0.8031 3.3307 2.4362
Rh -0.3261 3.5297 4.6061
Dy -0.2699 6.7522 4.0476
Ni -3.1490 6.6396 5.2033
Ga 1.0520 -0.8647 2.5365
Ga -2.5073 4.5934 4.2396
Ni -1.3781 4.3944 2.0696
Dy -1.4343 1.1718 2.6281
Ga 0.0000 0.0000 0.0000
```

(16)
Computed, not measured: a relaxed Dy2Ga5Ni2Rh crystal at the PBE level of DFT.

Properties
spin magnetization: 0.00 μB/cell
DFT formation energy: -0.541 eV/atom

extended XYZ file:
```
20
Lattice="4.0279 0.0000 0.0000 0.0000 9.1181 0.0000 0.0000 0.0000 9.1181" Properties=species:S:1:pos:R:3 pbc="T T T"
Ga 2.0139 0.0000 4.5590
Rh 0.0000 0.0000 0.0000
Ga 2.0139 2.7041 5.0815
Dy 0.0000 1.6745 2.8845
Ni 0.0000 8.1092 3.5502
Dy 0.0000 6.2336 1.6745
Rh 0.0000 4.5590 4.5590
Ga 2.0139 8.5956 1.8550
Ga 2.0139 5.0815 6.4140
Dy 0.0000 2.8845 7.4435
Ni 0.0000 5.5678 8.1092
Ga 2.0139 7.2631 8.5956
Ga 2.0139 4.0365 2.7041
Ga 2.0139 6.4140 4.0365
Ni 0.0000 3.5502 1.0088
Dy 0.0000 7.4435 6.2336
Ga 2.0139 0.5225 7.2631
Ga 2.0139 4.5590 0.0000
Ni 0.0000 1.0088 5.5678
Ga 2.0139 1.8550 0.5225
```

(17)
Computed, not measured: a relaxed DyGa2NiRh crystal at the PBE level of DFT.

Properties
spin magnetization: 0.00 μB/cell
DFT formation energy: -0.665 eV/atom

extended XYZ file:
```
5
Lattice="-2.2961 -0.2506 3.3460 2.6514 -2.6202 1.6232 2.4588 5.4084 -0.3778" Properties=species:S:1:pos:R:3 pbc="T T T"
Rh 2.6440 0.6764 1.8650
Ga 1.9953 3.0067 1.5944
Ni 0.1702 1.8612 2.7264
Ga 0.8189 -0.4691 2.9970
Dy 0.0000 0.0000 0.0000
```

(18)
Computed, not measured: a relaxed DyGaNiRh crystal at the PBE level of DFT.

Properties
spin magnetization: 0.00 μB/cell
DFT formation energy: -0.580 eV/atom

extended XYZ file:
```
4
Lattice="-2.9542 3.4264 0.1732 -2.8201 0.7348 -3.4648 -4.4235 -0.8462 0.4630" Properties=species:S:1:pos:R:3 pbc="T T T"
Ni -2.5495 0.8287 -0.7071
Rh -7.6484 2.4862 -2.1214
Ga 0.0000 0.0000 0.0000
Dy -5.0989 1.6575 -1.4142
```

(19)
Computed, not measured: a relaxed DyGa4Ni2Rh crystal at the PBE level of DFT.

Properties
spin magnetization: 0.00 μB/cell
DFT formation energy: -0.524 eV/atom

extended XYZ file:
```
8
Lattice="-0.2999 -3.6715 1.8415 2.9317 -2.8356 -0.5707 5.2246 0.9368 7.3239" Properties=species:S:1:pos:R:3 pbc="T T T"
Ga 2.6321 -3.7111 2.2402
Ga 5.2243 -1.8593 6.3545
Ni 2.1951 -1.2275 2.5154
Ni 5.6613 -4.3428 6.0793
Rh 3.9282 -2.7852 4.2974
Ga 4.3095 -5.3086 3.9337
Dy 0.0000 0.0000 0.0000
Ga 3.5469 -0.2618 4.6610
```

(20)
Computed, not measured: a relaxed Dy2Ga4NiRh3 crystal at the PBE level of DFT.

Properties
spin magnetization: 0.00 μB/cell
DFT formation energy: -0.729 eV/atom

extended XYZ file:
```
10
Lattice="-1.5237 -1.6963 -3.4763 -2.6102 -2.3065 2.2696 -7.0591 7.4541 -0.5432" Properties=species:S:1:pos:R:3 pbc="T T T"
Rh -2.2748 -0.1292 1.0602
Ga -5.1753 3.8123 -2.0778
Ga -3.9507 1.6405 0.9312
Dy -2.5800 1.0717 -1.8781
Ga 0.0000 0.0000 0.0000
Dy -6.5460 4.3810 0.7315
Ni -5.5965 1.7257 -0.8750
Rh -3.5295 3.7271 -0.2716
Ga -2.0670 -2.0014 -0.6034
Rh -6.8512 5.5820 -2.2068
```